# SiPb2W | the Alexandria database | PBE-GGA | optimized geometry
data_SiPb2W
_cell_length_a 7.020
_cell_length_b 9.227
_cell_length_c 3.056
_cell_angle_alpha 90.00
_cell_angle_beta 115.00
_cell_angle_gamma 90.00
_space_group_name_H-M_alt 'C 1 2/m 1'
_space_group_IT_number 12
loop_
_space_group_symop_operation_xyz
'x,y,z'
'-x,-y,-z'
'-x,y,-z'
'x,-y,z'
'x+1/2,y+1/2,z'
'-x+1/2,-y+1/2,-z'
'-x+1/2,y+1/2,-z'
'x+1/2,-y+1/2,z'
loop_
_atom_site_label
_atom_site_type_symbol
_atom_site_fract_x
_atom_site_fract_y
_atom_site_fract_z
Si1 Si 0.000 0.000 0.000
Pb1 Pb 0.250 0.250 0.500
W1 W 0.000 0.500 0.000
# E_tot	-5.34	eV per atom
# formation energy (no corrections)	1.1082	eV/atom
# total moment	0.00	μB/cell
# crystal system	monoclinic